Entry 1:
First-principles (PBE) data for crystalline NpGeSe4 at its relaxed geometry, as listed in the Alexandria database.

Structure (POSCAR):
```
NpGeSe4
1.0
6.8607 0.0000 0.0000
0.0000 6.8607 0.0000
0.0000 0.0000 7.4653
Np Ge Se
2 2 8
Cartesian
0.0000 0.0000 0.0000 Np
0.0000 0.0000 3.7327 Np
0.0000 3.4303 1.8663 Ge
3.4303 0.0000 5.5990 Ge
1.5390 1.6705 5.8224 Se
1.5390 5.1902 5.3755 Se
1.6705 1.5390 2.0898 Se
1.6705 5.3217 1.6429 Se
5.1902 1.5390 1.6429 Se
5.1902 5.3217 2.0898 Se
5.3217 1.6705 5.3755 Se
5.3217 5.1902 5.8224 Se
```

***

Entry 2:
First-principles (PBE) data for crystalline Np2GeSe at its relaxed geometry, as listed in the Alexandria database.

Structure (POSCAR):
```
Np2GeSe
1.0
2.0885 1.2058 6.5742
-2.0885 1.2058 6.5742
0.0000 -2.4116 6.5742
Np Ge Se
2 1 1
Cartesian
0.0000 0.0000 4.9094 Np
0.0000 0.0000 14.8133 Np
0.0000 0.0000 9.8614 Ge
0.0000 0.0000 0.0000 Se
```

Offset from the most stable computed form ... 0.000 eV/atom

***

Taking the records one at a time from the top gives E_tot values of -5.6641; -9.0103 eV/atom.